1.
A geometry-optimized Ce2PmTmTl4 structure, computed with PBE.

## Properties
The calculation puts the total magnetization at 2.21 μB per formula unit. The formation enthalpy at 0 K comes out at -0.275 eV per atom.

Cell: 5.4561 5.4561 26.8288 Å, 90.00 90.00 120.00°
Space group R-3m (No. 166, hexagonal axes)
Symmetry-distinct sites (fractional):
Ce  0.0000  0.0000  0.2489 (multiplicity 6)
Pm  0.0000  0.0000  0.0000 (multiplicity 3)
Tm  0.0000  0.0000  0.5000 (multiplicity 3)
Tl  0.0000  0.0000  0.1260 (multiplicity 6)
Tl  0.0000  0.0000  0.3762 (multiplicity 6)



2.
A geometry-optimized CePm2TmTl4 structure, computed with PBE.

## Properties
The calculation puts the total magnetization at 1.07 μB per formula unit. The formation enthalpy at 0 K comes out at -0.309 eV per atom.

Cell: 5.4460 5.4460 26.9263 Å, 90.00 90.00 120.00°
Space group R-3m (No. 166, hexagonal axes)
Symmetry-distinct sites (fractional):
Ce  0.0000  0.0000  0.0000 (multiplicity 3)
Pm  0.0000  0.0000  0.2483 (multiplicity 6)
Tm  0.0000  0.0000  0.5000 (multiplicity 3)
Tl  0.0000  0.0000  0.1261 (multiplicity 6)
Tl  0.0000  0.0000  0.3764 (multiplicity 6)



3.
A geometry-optimized CePmYTl structure, computed with PBE.

## Properties
The calculation puts the total magnetization at 1.45 μB per formula unit. The formation enthalpy at 0 K comes out at -0.008 eV per atom.

Cell: 7.799 7.799 7.799 Å, 90.00 90.00 90.00°
Space group F-43m (No. 216)
Symmetry-distinct sites (fractional):
Ce  0.000  0.000  0.000 (multiplicity 4)
Pm  0.250  0.250  0.250 (multiplicity 4)
Y  0.000  0.000  0.500 (multiplicity 4)
Tl  0.250  0.250  0.750 (multiplicity 4)



4.
A geometry-optimized CePmTlZn structure, computed with PBE.

## Properties
The calculation puts the total magnetization at 1.57 μB per formula unit. The formation enthalpy at 0 K comes out at -0.239 eV per atom.

Cell: 7.585 7.585 7.585 Å, 90.00 90.00 90.00°
Space group F-43m (No. 216)
Symmetry-distinct sites (fractional):
Ce  0.000  0.000  0.000 (multiplicity 4)
Pm  0.000  0.000  0.500 (multiplicity 4)
Tl  0.250  0.250  0.750 (multiplicity 4)
Zn  0.250  0.250  0.250 (multiplicity 4)



5.
A geometry-optimized Ce2PmTl2Zn2 structure, computed with PBE.

## Properties
The calculation puts the total magnetization at 1.86 μB per formula unit. The formation enthalpy at 0 K comes out at -0.176 eV per atom.

Cell: 4.6079 4.6079 28.2565 Å, 90.00 90.00 120.00°
Space group R-3m (No. 166, hexagonal axes)
Symmetry-distinct sites (fractional):
Ce  0.0000  0.0000  0.1445 (multiplicity 6)
Pm  0.0000  0.0000  0.0000 (multiplicity 3)
Tl  0.0000  0.0000  0.2681 (multiplicity 6)
Zn  0.0000  0.0000  0.4220 (multiplicity 6)



6.
A geometry-optimized CePm4Tm5 structure, computed with PBE.

## Properties
The calculation puts the total magnetization at 0.53 μB per formula unit. The formation enthalpy at 0 K comes out at 0.255 eV per atom.

Cell: 10.553 10.553 5.883 Å, 90.00 90.00 90.00°
Space group I4mm (No. 107)
Symmetry-distinct sites (fractional):
Ce  0.000  0.000  0.000 (multiplicity 2)
Pm  0.000  0.324  0.753 (multiplicity 8)
Tm  0.000  0.000  0.531 (multiplicity 2)
Tm  0.187  0.187  0.257 (multiplicity 8)



7.
A geometry-optimized CePm3Tm12 structure, computed with PBE.

## Properties
The calculation puts the total magnetization at 0.87 μB per formula unit. The formation enthalpy at 0 K comes out at 0.036 eV per atom.

Cell: 4.976 4.976 19.916 Å, 90.00 90.00 90.00°
Space group P4/mmm (No. 123)
Symmetry-distinct sites (fractional):
Ce  0.000  0.000  0.000 (multiplicity 1)
Pm  0.000  0.000  0.248 (multiplicity 2)
Pm  0.000  0.000  0.500 (multiplicity 1)
Tm  0.000  0.500  0.123 (multiplicity 4)
Tm  0.000  0.500  0.374 (multiplicity 4)
Tm  0.500  0.500  0.000 (multiplicity 1)
Tm  0.500  0.500  0.250 (multiplicity 2)
Tm  0.500  0.500  0.500 (multiplicity 1)



8.
A geometry-optimized CePm8Tm4 structure, computed with PBE.

## Properties
The calculation puts the total magnetization at 0.00 μB per formula unit. The formation enthalpy at 0 K comes out at 0.151 eV per atom.

Cell: 7.3472 7.3472 27.3410 Å, 90.00 90.00 120.00°
Space group R-3m (No. 166, hexagonal axes)
Symmetry-distinct sites (fractional):
Ce  0.0000  0.0000  0.0000 (multiplicity 3)
Pm  0.0000  0.0000  0.2789 (multiplicity 6)
Pm  0.0272  0.5136  0.2688 (multiplicity 18)
Tm  0.0000  0.0000  0.5000 (multiplicity 3)
Tm  0.0000  0.5000  0.5000 (multiplicity 9)



Repeat the third record exactly.
A geometry-optimized CePmYTl structure, computed with PBE.

## Properties
The calculation puts the total magnetization at 1.45 μB per formula unit. The formation enthalpy at 0 K comes out at -0.008 eV per atom.

Cell: 7.799 7.799 7.799 Å, 90.00 90.00 90.00°
Space group F-43m (No. 216)
Symmetry-distinct sites (fractional):
Ce  0.000  0.000  0.000 (multiplicity 4)
Pm  0.250  0.250  0.250 (multiplicity 4)
Y  0.000  0.000  0.500 (multiplicity 4)
Tl  0.250  0.250  0.750 (multiplicity 4)